[1]
The following is a PBE calculation of a relaxed structure of ErHfGa2, from Alexandria.

## Properties
- Crystal system: tetragonal
- Relative energy among the computed polymorphs: 0 meV/atom
- E: -22.2 eV/cell
- Space-group type: P4/mmm, No. 123
- DFT formation energy: -0.413 eV/atom

Cell: 3.544 3.544 6.481 Å, 90.00 90.00 90.00°
Element x y z (fractional)
Hf: 0.500 0.500 0.000
Ga: 0.000 0.000 0.774
Ga: 0.000 0.000 0.226
Er: 0.500 0.500 0.500

[2]
The following is a PBE calculation of a relaxed structure of ErHfGa, from Alexandria.

## Properties
- Crystal system: tetragonal
- Relative energy among the computed polymorphs: 113 meV/atom
- E: -18.4 eV/cell
- Space-group type: I4mm, No. 107
- DFT formation energy: -0.281 eV/atom

Cell: 3.301 3.301 6.581 Å, 104.52 104.52 90.00°
Element x y z (fractional)
Hf: 0.319 0.319 0.638
Ga: 0.673 0.673 0.347
Er: 0.008 0.008 0.015

[3]
The following is a PBE calculation of a relaxed structure of ErHfGaHg, from Alexandria.

## Properties
- Crystal system: cubic
- E: -18.9 eV/cell
- Space-group type: F-43m, No. 216
- DFT formation energy: -0.273 eV/atom

Cell: 4.969 4.969 4.969 Å, 60.00 60.00 60.00°
Element x y z (fractional)
Hf: 0.500 0.500 0.500
Hg: 0.750 0.750 0.750
Ga: 0.250 0.250 0.250
Er: 0.000 0.000 0.000

[4]
The following is a PBE calculation of a relaxed structure of ErHfGaIr, from Alexandria.

## Properties
- Crystal system: cubic
- E: -28.8 eV/cell
- Space-group type: F-43m, No. 216
- DFT formation energy: -0.595 eV/atom

Cell: 4.794 4.794 4.794 Å, 60.00 60.00 60.00°
Element x y z (fractional)
Ir: 0.750 0.750 0.750
Hf: 0.000 0.000 0.000
Ga: 0.250 0.250 0.250
Er: 0.500 0.500 0.500

[5]
The following is a PBE calculation of a relaxed structure of LiErHfGa, from Alexandria.

## Properties
- Crystal system: cubic
- E: -20.1 eV/cell
- Space-group type: F-43m, No. 216
- DFT formation energy: -0.161 eV/atom

Cell: 4.843 4.843 4.843 Å, 60.00 60.00 60.00°
Element x y z (fractional)
Li: 0.750 0.750 0.750
Hf: 0.500 0.500 0.500
Ga: 0.250 0.250 0.250
Er: 0.000 0.000 0.000

[6]
The following is a PBE calculation of a relaxed structure of ErHfGa2Ni5, from Alexandria.

## Properties
- Crystal system: tetragonal
- E: -52.3 eV/cell
- Space-group type: P4/mmm, No. 123
- DFT formation energy: -0.317 eV/atom

Cell: 3.878 3.878 8.742 Å, 90.00 90.00 90.00°
Element x y z (fractional)
Er: 0.000 0.000 0.500
Hf: 0.000 0.000 0.000
Ga: 0.500 0.500 0.136
Ga: 0.500 0.500 0.864
Ni: 0.000 0.500 0.282
Ni: 0.500 0.000 0.282
Ni: 0.000 0.500 0.718
Ni: 0.500 0.000 0.718
Ni: 0.500 0.500 0.500

[7]
The following is a PBE calculation of a relaxed structure of ErHfGaOs, from Alexandria.

## Properties
- Crystal system: cubic
- E: -30.3 eV/cell
- Space-group type: F-43m, No. 216
- DFT formation energy: -0.376 eV/atom

Cell: 4.767 4.767 4.767 Å, 60.00 60.00 60.00°
Element x y z (fractional)
Hf: 0.500 0.500 0.500
Os: 0.750 0.750 0.750
Ga: 0.250 0.250 0.250
Er: 0.000 0.000 0.000

[8]
The following is a PBE calculation of a relaxed structure of ErHfGaPd, from Alexandria.

## Properties
- Crystal system: cubic
- E: -24.9 eV/cell
- Space-group type: F-43m, No. 216
- DFT formation energy: -0.533 eV/atom

Cell: 4.843 4.843 4.843 Å, 60.00 60.00 60.00°
Element x y z (fractional)
Hf: 0.500 0.500 0.500
Ga: 0.250 0.250 0.250
Pd: 0.750 0.750 0.750
Er: 0.000 0.000 0.000

[9]
The following is a PBE calculation of a relaxed structure of ErHfGaRh, from Alexandria.

## Properties
- Crystal system: cubic
- E: -27.2 eV/cell
- Space-group type: F-43m, No. 216
- DFT formation energy: -0.576 eV/atom

Cell: 4.792 4.792 4.792 Å, 60.00 60.00 60.00°
Element x y z (fractional)
Rh: 0.750 0.750 0.750
Hf: 0.500 0.500 0.500
Ga: 0.250 0.250 0.250
Er: 0.000 0.000 0.000

[10]
The following is a PBE calculation of a relaxed structure of Er2HfGa2Rh5, from Alexandria.

## Properties
- Crystal system: tetragonal
- E: -141.7 eV/cell
- Space-group type: P4/mbm, No. 127
- DFT formation energy: -0.894 eV/atom

Cell: 3.528 9.906 9.906 Å, 90.00 90.00 90.00°
Element x y z (fractional)
Er: 0.000 0.672 0.172
Er: 0.000 0.328 0.828
Er: 0.000 0.172 0.328
Er: 0.000 0.828 0.672
Hf: 0.000 0.000 0.000
Hf: 0.000 0.500 0.500
Ga: 0.000 0.125 0.625
Ga: 0.000 0.875 0.375
Ga: 0.000 0.625 0.875
Ga: 0.000 0.375 0.125
Rh: 0.500 0.205 0.068
Rh: 0.500 0.795 0.932
Rh: 0.500 0.068 0.795
Rh: 0.500 0.705 0.432
Rh: 0.500 0.932 0.205
Rh: 0.500 0.295 0.568
Rh: 0.500 0.568 0.705
Rh: 0.500 0.432 0.295
Rh: 0.500 0.500 0.000
Rh: 0.500 0.000 0.500

[11]
The following is a PBE calculation of a relaxed structure of ErHfGaRu, from Alexandria.

## Properties
- Crystal system: cubic
- E: -28.6 eV/cell
- Space-group type: F-43m, No. 216
- DFT formation energy: -0.436 eV/atom

Cell: 4.771 4.771 4.771 Å, 60.00 60.00 60.00°
Element x y z (fractional)
Ru: 0.500 0.500 0.500
Hf: 0.250 0.250 0.250
Ga: 0.000 0.000 0.000
Er: 0.750 0.750 0.750

[12]
The following is a PBE calculation of a relaxed structure of ErHfGaTc, from Alexandria.

## Properties
- Crystal system: cubic
- E: -29.2 eV/cell
- Space-group type: F-43m, No. 216
- DFT formation energy: -0.323 eV/atom

Cell: 4.777 4.777 4.777 Å, 60.00 60.00 60.00°
Element x y z (fractional)
Hf: 0.500 0.500 0.500
Tc: 0.750 0.750 0.750
Ga: 0.250 0.250 0.250
Er: 0.000 0.000 0.000

[13]
The following is a PBE calculation of a relaxed structure of ErGaHg2, from Alexandria.

## Properties
- Crystal system: monoclinic
- E: -9.1 eV/cell
- Space-group type: P2/m, No. 10
- DFT formation energy: -0.232 eV/atom

Cell: 4.706 3.288 6.042 Å, 96.37 90.00 90.00°
Element x y z (fractional)
Er: 0.500 0.750 0.250
Ga: 0.500 0.250 0.750
Hg: 0.000 0.177 0.000
Hg: 0.000 0.323 0.500

[14]
The following is a PBE calculation of a relaxed structure of Er5Ga2Hg, from Alexandria.

## Properties
- Crystal system: tetragonal
- Relative energy among the computed polymorphs: 0 meV/atom
- E: -65.8 eV/cell
- Space-group type: I4/mcm, No. 140
- DFT formation energy: -0.468 eV/atom

Cell: 7.519 7.519 9.016 Å, 114.64 114.64 90.00°
Element x y z (fractional)
Er: 0.525 0.685 0.710
Er: 0.815 0.975 0.290
Er: 0.000 0.000 0.000
Er: 0.500 0.500 0.000
Er: 0.185 0.025 0.710
Er: 0.685 0.185 0.710
Er: 0.025 0.525 0.710
Er: 0.315 0.815 0.290
Er: 0.975 0.475 0.290
Er: 0.475 0.315 0.290
Ga: 0.123 0.377 0.000
Ga: 0.623 0.123 0.000
Ga: 0.377 0.877 0.000
Ga: 0.877 0.623 0.000
Hg: 0.750 0.750 0.500
Hg: 0.250 0.250 0.500